No. 1
Compound: PrAl6Pd4
Source: the Alexandria database
Functional: PBE
Structure: relaxed

The value obtained for the spin magnetization is 0.0 μB per formula unit. Its density of states at the Fermi level is 4.594 states/eV per cell. The value obtained for the formation energy is -8.760 eV/f.u.

The space group is P-6m2 (No. 187) and the conventional cell measures 7.2971, 7.2971 and 4.1153 Å, with angles of 90.00, 90.00 and 120.00 degrees. Symmetry generates all atoms from Pr at (0.0000, 0.0000, 0.0000), Al at (0.2017, 0.4033, 0.5000), Al at (0.5345, 0.0691, 0.0000), Pd at (0.3333, 0.6667, 0.0000) and Pd at (0.4048, 0.2024, 0.5000).

---

No. 2
Compound: PrAlPd6
Source: the Alexandria database
Functional: PBE
Structure: relaxed

The value obtained for the spin magnetization is 0.0 μB per formula unit. The energy above the lowest structure with this stoichiometry is 157 meV/atom. Its density of states at the Fermi level is 4.580 states/eV per cell. The value obtained for the formation energy is -4.016 eV/f.u.

The space group is P4/mmm (No. 123) and the conventional cell measures 4.0093, 4.0093 and 9.2808 Å, with angles of 90.00, 90.00 and 90.00 degrees. Symmetry generates all atoms from Pr at (0.0000, 0.0000, 0.0000), Al at (0.0000, 0.0000, 0.5000), Pd at (0.0000, 0.5000, 0.3383) and Pd at (0.5000, 0.5000, 0.1400).

---

No. 3
Compound: PrAl3Pd
Source: the Alexandria database
Functional: PBE
Structure: relaxed

The value obtained for the spin magnetization is 0.0 μB per formula unit. Its density of states at the Fermi level is 8.690 states/eV per cell. The value obtained for the formation energy is -3.364 eV/f.u.

The space group is Pnma (No. 62) and the conventional cell measures 8.4481, 4.2634 and 11.1062 Å, with angles of 90.00, 90.00 and 90.00 degrees. Symmetry generates all atoms from Pr at (0.1834, 0.2500, 0.0135), Al at (0.0627, 0.2500, 0.5868), Al at (0.1196, 0.7500, 0.7919), Al at (0.1408, 0.7500, 0.2204) and Pd at (0.0964, 0.2500, 0.3552).

---

No. 4
Compound: PrAl12Pd4
Source: the Alexandria database
Functional: PBE
Structure: relaxed

The value obtained for the spin magnetization is 0.0 μB per formula unit. Its density of states at the Fermi level is 27.133 states/eV per cell. The value obtained for the formation energy is -3.550 eV/f.u.

The space group is Im-3 (No. 204) and the conventional cell measures 8.7916, 8.7916 and 8.7916 Å, with angles of 90.00, 90.00 and 90.00 degrees. Symmetry generates all atoms from Pr at (0.0000, 0.0000, 0.0000), Al at (0.0000, 0.3443, 0.1597) and Pd at (0.2500, 0.2500, 0.2500).